# 1
Compound: YTeRu2
Source: Alexandria
Functional: GGA-PBE
Structure: optimized geometry

Values from the calculation:
N(E_F): 5.65 states/eV/cell
E_tot: -27.23 eV/cell
SG: F-43m (216)

Unit cell a=4.798 b=4.798 c=4.798 alpha=60.00 beta=60.00 gamma=60.00
Positions (direct):
Y1 0.750 0.750 0.750
Ru1 0.250 0.250 0.250
Ru2 0.000 0.000 0.000
Te1 0.500 0.500 0.500

***

# 2
Compound: LiNpAg2I6
Source: Alexandria
Functional: GGA-PBE
Structure: optimized geometry

Values from the calculation:
N(E_F): 3.74 states/eV/cell
E_tot: -71.96 eV/cell
SG: C2/c (15)

Unit cell a=8.551 b=10.593 c=10.593 alpha=70.69 beta=69.98 gamma=69.98
Positions (direct):
Ag1 0.821 0.579 0.830
Ag2 0.321 0.830 0.579
Ag3 0.179 0.421 0.170
Ag4 0.679 0.170 0.421
I1 0.637 0.641 0.615
I2 0.891 0.946 0.304
I3 0.903 0.288 0.946
I4 0.391 0.304 0.946
I5 0.097 0.712 0.054
I6 0.137 0.615 0.641
I7 0.863 0.385 0.359
I8 0.609 0.696 0.054
I9 0.403 0.946 0.288
I10 0.597 0.054 0.712
I11 0.363 0.359 0.385
I12 0.109 0.054 0.696
Np1 0.250 0.287 0.713
Np2 0.750 0.713 0.287
Li1 0.750 0.178 0.822
Li2 0.250 0.822 0.178

***

# 3
Compound: Nd2Sm5Bi5
Source: Alexandria
Functional: GGA-PBE
Structure: optimized geometry

Values from the calculation:
N(E_F): 9.53 states/eV/cell
Formation energy: -0.658 eV per atom
SG: C2/m (12)

Unit cell a=4.520 b=7.740 c=13.151 alpha=107.77 beta=90.00 gamma=106.98
Positions (direct):
Bi1 0.699 0.398 0.794
Bi2 0.123 0.245 0.437
Bi3 0.877 0.755 0.563
Bi4 0.301 0.602 0.206
Bi5 0.000 0.000 0.000
Sm1 0.720 0.441 0.342
Sm2 0.340 0.681 0.963
Sm3 0.660 0.319 0.037
Sm4 0.280 0.559 0.658
Sm5 0.500 0.000 0.500
Nd1 0.041 0.083 0.782
Nd2 0.959 0.917 0.218

***

# 4
Compound: TiTl2Bi
Source: Alexandria
Functional: GGA-PBE
Structure: optimized geometry

Values from the calculation:
N(E_F): 5.20 states/eV/cell
E above lowest polymorph: 0.000 eV per atom
Formation energy: 0.358 eV per atom
SG: I-42d (122)

Unit cell a=8.569 b=8.569 c=6.766 alpha=50.71 beta=50.71 gamma=90.00
Positions (direct):
Tl1 0.875 0.843 0.750
Tl2 0.375 0.407 0.750
Tl3 0.157 0.625 0.250
Tl4 0.593 0.125 0.250
Bi1 0.000 0.000 0.000
Bi2 0.750 0.250 0.500
Ti1 0.500 0.500 0.000
Ti2 0.250 0.750 0.500

***

# 5
Compound: BaLi2NbO4
Source: Alexandria
Functional: GGA-PBE
Structure: optimized geometry

Values from the calculation:
N(E_F): 1.37 states/eV/cell
E_tot: -53.85 eV/cell
SG: I222 (23)

Unit cell a=5.595 b=5.441 c=5.441 alpha=61.09 beta=59.06 gamma=59.06
Positions (direct):
Nb1 0.500 0.500 0.500
O1 0.122 0.827 0.502
O2 0.451 0.173 0.498
O3 0.549 0.502 0.827
O4 0.878 0.498 0.173
Ba1 0.000 0.000 0.000
Li1 0.259 0.241 0.241
Li2 0.741 0.759 0.759